Material: LaYSi
Method: DFT, PBE
State: relaxed

abc: 4.527 4.527 8.174
angles: 90.00 90.01 90.00
Positions (direct):
La: 0.981 0.993 0.517
La: 0.481 0.493 0.240
Y: 0.481 0.993 0.879
Y: 0.981 0.493 0.879
Si: 0.981 0.993 0.127
Si: 0.480 0.493 0.631

VASP energy ... -6.12 eV per atom
Uncorrected formation energy ... -0.5133 eV/atom
ΔE to the lowest computed polymorph ... 0.0 kJ/mol of atoms